Run i
Below is a geometry-optimized FeTeIr structure, with properties calculated at the PBE level.

```
3
Lattice="3.772 0.000 0.000 -1.886 3.267 0.000 0.000 0.000 4.669" Properties=species:S:1:pos:R:3 pbc="T T T"
Fe 0.000 0.000 0.000
Te 0.000 2.178 2.733
Ir 1.886 1.089 1.086
```

Values from the calculation:
**Magnetization**: 3.0 μB per formula unit
**Density of states at the Fermi level**: 1.5 states/eV per cell
**SG**: P3m1


Run ii
Below is a geometry-optimized FeTeIr structure, with properties calculated at the PBE level.

```
3
Lattice="-1.805 1.805 3.899 1.805 -1.805 3.899 1.805 1.805 -3.899" Properties=species:S:1:pos:R:3 pbc="T T T"
Fe 0.000 0.000 0.000
Te 0.000 0.000 2.505
Ir 0.000 0.000 5.143
```

Values from the calculation:
**Magnetization**: 2.9 μB per formula unit
**Density of states at the Fermi level**: 2.2 states/eV per cell
**SG**: I4mm


Run iii
Below is a geometry-optimized FeTeIr structure, with properties calculated at the PBE level.

```
3
Lattice="-1.542 1.542 5.364 1.542 -1.542 5.364 1.542 1.542 -5.364" Properties=species:S:1:pos:R:3 pbc="T T T"
Fe 0.000 0.000 0.000
Te 0.000 0.000 7.299
Ir 0.000 0.000 3.887
```

Values from the calculation:
**Magnetization**: 3.2 μB per formula unit
**Density of states at the Fermi level**: 2.6 states/eV per cell
**SG**: I4mm


Run iv
Below is a geometry-optimized FeTeIr structure, with properties calculated at the PBE level.

```
3
Lattice="0.000 3.073 3.073 3.073 0.000 3.073 3.073 3.073 0.000" Properties=species:S:1:pos:R:3 pbc="T T T"
Fe 0.000 0.000 0.000
Te 3.073 3.073 3.073
Ir 4.609 4.609 4.609
```

Values from the calculation:
**Magnetization**: 3.8 μB per formula unit
**Density of states at the Fermi level**: 3.2 states/eV per cell
**SG**: F-43m


The structure with the greatest stability is run iv.


Run i
Below is a geometry-optimized Ti2Fe2Ir structure, with properties calculated at the PBE level.

```
10
Lattice="6.661 0.000 0.000 0.000 6.661 0.000 0.000 0.000 3.047" Properties=species:S:1:pos:R:3 pbc="T T T"
Ti 1.287 2.044 0.000
Ti 2.044 5.374 0.000
Ti 4.617 1.287 0.000
Ti 5.374 4.617 0.000
Fe 0.758 4.088 1.523
Fe 2.572 0.758 1.523
Fe 4.088 5.903 1.523
Fe 5.903 2.572 1.523
Ir 0.000 0.000 1.523
Ir 3.330 3.330 1.523
```

Values from the calculation:
**Magnetization**: 0.9 μB per formula unit
**Density of states at the Fermi level**: 8.7 states/eV per cell
**SG**: P4/mbm


Run ii
Below is a geometry-optimized Ti2Fe2Ir structure, with properties calculated at the PBE level.

```
5
Lattice="1.729 -6.918 0.000 1.729 6.918 0.000 0.000 0.000 2.901" Properties=species:S:1:pos:R:3 pbc="T T T"
Ti 1.729 5.365 0.000
Ti 1.729 -5.365 0.000
Fe 1.729 2.761 1.450
Fe 1.729 -2.761 1.450
Ir 1.729 0.000 1.450
```

Values from the calculation:
**Magnetization**: 2.6 μB per formula unit
**Density of states at the Fermi level**: 4.1 states/eV per cell
**SG**: Cmmm


The structure with the greatest stability is run ii.